# 1
The following is a GGA-PBEsol calculation of a relaxed TeIr2C crystal, from Alexandria via LeMat-Bulk.

Values from the calculation:
- total moment (μB/cell) = 0.01
- energy relative to the elements, uncorrected (eV per atom) = 1.4952
- VASP energy (eV per cell) = -26.84

Lattice parameters (Å, degrees): 4.335 4.335 4.335 60.00 60.00 60.00
Fractional coordinates of all 4 atoms:
Te  0.000  0.000  0.000
Ir  0.250  0.250  0.250
Ir  0.750  0.750  0.750
C  0.500  0.500  0.500



# 2
The following is a GGA-PBEsol calculation of a relaxed TlIrC3 crystal, from Alexandria via LeMat-Bulk.

Values from the calculation:
- total moment (μB/cell) = 0.00
- VASP energy (eV per cell) = -21.31

Lattice parameters (Å, degrees): 4.189 4.189 4.189 90.00 90.00 90.00
Fractional coordinates of all 5 atoms:
Tl  0.000  0.000  0.000
Ir  0.500  0.500  0.500
C  0.000  0.000  0.500
C  0.000  0.500  0.000
C  0.500  0.000  0.000



# 3
The following is a GGA-PBEsol calculation of a relaxed U2IrC2 crystal, from Alexandria via LeMat-Bulk.

Values from the calculation:
- total moment (μB/cell) = 1.47
- VASP energy (eV per cell) = -54.98

Lattice parameters (Å, degrees): 6.610 6.610 6.610 149.88 149.88 43.11
Fractional coordinates of all 5 atoms:
U  0.145  0.145  0.000
U  0.855  0.855  0.000
Ir  0.500  0.500  0.000
C  0.329  0.329  0.000
C  0.671  0.671  0.000



# 4
The following is a GGA-PBEsol calculation of a relaxed ZnIr2WC crystal, from Alexandria via LeMat-Bulk.

Values from the calculation:
- total moment (μB/cell) = 0.00
- VASP energy (eV per cell) = -35.48

Lattice parameters (Å, degrees): 4.755 4.755 3.965 90.00 90.00 90.00
Fractional coordinates of all 5 atoms:
Zn  0.000  0.000  0.000
Ir  0.000  0.500  0.500
Ir  0.500  0.000  0.500
W  0.500  0.500  0.500
C  0.500  0.500  0.000



# 5
The following is a GGA-PBEsol calculation of a relaxed YIrC2 crystal, from Alexandria via LeMat-Bulk.

Values from the calculation:
- total moment (μB/cell) = 0.00
- VASP energy (eV per cell) = -69.67

Lattice parameters (Å, degrees): 6.288 6.288 6.288 135.47 135.47 64.79
Fractional coordinates of all 8 atoms:
Y  0.000  0.000  0.000
Y  0.750  0.250  0.500
Ir  0.250  0.750  0.500
Ir  0.500  0.500  0.000
C  0.210  0.625  0.085
C  0.375  0.460  0.585
C  0.540  0.125  0.915
C  0.875  0.790  0.415



# 6
The following is a GGA-PBEsol calculation of a relaxed K2C crystal, from Alexandria via LeMat-Bulk.

Values from the calculation:
- total moment (μB/cell) = 4.00
- VASP energy (eV per cell) = -15.02
- polymorph energy (0 for the lowest one) (eV per atom) = 0.000

Lattice parameters (Å, degrees): 4.847 4.847 7.401 90.00 90.00 90.00
Fractional coordinates of all 6 atoms:
K  0.250  0.250  0.111
K  0.250  0.750  0.500
K  0.750  0.250  0.500
K  0.750  0.750  0.889
C  0.250  0.250  0.727
C  0.750  0.750  0.273